Compound: CdIn2Rh4
Source: the Alexandria database
Functional: PBE
Structure: optimized geometry

Cell lengths 5.484, 5.484, 5.484 Å; angles 109.79, 109.79, 108.84 degrees
Fractional coordinates of all 7 atoms:
Cd  0.000  0.000  0.000
In  0.000  0.500  0.500
In  0.500  0.000  0.500
Rh  0.000  0.000  0.500
Rh  0.000  0.500  0.000
Rh  0.500  0.000  0.000
Rh  0.500  0.500  0.500

Its formation energy is 37.4 meV per atom. The total energy comes out at -5.077 eV per atom.